# 1
Density functional theory data (SCAN) for a PBEsol-optimized structure of Lu2AlTc.

Results
space group = Fm-3m
energy relative to the elements = -320 meV/atom
density = 10.1 g cm⁻³

a b c (Å): 4.801 4.801 4.801
angles (deg): 60.00 60.00 60.00
Fractional positions:
1 Lu 0.250 0.250 0.250
2 Lu 0.750 0.750 0.750
3 Tc 0.000 0.000 0.000
4 Al 0.500 0.500 0.500


# 2
Density functional theory data (SCAN) for a PBEsol-optimized structure of Lu6Ti4Al43.

Results
space group = P6_3/mcm
energy relative to the elements = -335 meV/atom
density = 4.4 g cm⁻³

a b c (Å): 10.934 10.934 17.587
angles (deg): 90.00 90.00 120.00
Fractional positions:
1 Lu 0.000 0.471 0.904
2 Lu 0.000 0.529 0.096
3 Lu 0.471 0.000 0.904
4 Lu 0.000 0.529 0.404
5 Lu 0.471 0.000 0.596
6 Lu 0.529 0.000 0.096
7 Lu 0.000 0.471 0.596
8 Lu 0.529 0.000 0.404
9 Lu 0.529 0.529 0.904
10 Lu 0.471 0.471 0.096
11 Lu 0.471 0.471 0.404
12 Lu 0.529 0.529 0.596
13 Ti 0.000 0.000 0.000
14 Ti 0.000 0.000 0.500
15 Ti 0.000 0.273 0.750
16 Ti 0.000 0.727 0.250
17 Ti 0.273 0.000 0.750
18 Ti 0.727 0.000 0.250
19 Ti 0.727 0.727 0.750
20 Ti 0.273 0.273 0.250
21 Al 0.404 0.851 0.750
22 Al 0.596 0.149 0.250
23 Al 0.447 0.596 0.750
24 Al 0.851 0.404 0.750
25 Al 0.553 0.404 0.250
26 Al 0.149 0.596 0.250
27 Al 0.149 0.553 0.750
28 Al 0.596 0.447 0.750
29 Al 0.851 0.447 0.250
30 Al 0.404 0.553 0.250
31 Al 0.553 0.149 0.750
32 Al 0.447 0.851 0.250
33 Al 0.000 0.844 0.384
34 Al 0.000 0.156 0.616
35 Al 0.844 0.000 0.384
36 Al 0.000 0.156 0.884
37 Al 0.844 0.000 0.116
38 Al 0.156 0.000 0.616
39 Al 0.000 0.844 0.116
40 Al 0.156 0.000 0.884
41 Al 0.156 0.156 0.384
42 Al 0.844 0.844 0.616
43 Al 0.844 0.844 0.884
44 Al 0.156 0.156 0.116
45 Al 0.505 0.753 0.000
46 Al 0.495 0.247 0.000
47 Al 0.247 0.495 0.000
48 Al 0.495 0.247 0.500
49 Al 0.753 0.505 0.500
50 Al 0.753 0.505 0.000
51 Al 0.505 0.753 0.500
52 Al 0.247 0.495 0.500
53 Al 0.247 0.753 0.000
54 Al 0.753 0.247 0.000
55 Al 0.753 0.247 0.500
56 Al 0.247 0.753 0.500
57 Al 0.000 0.852 0.750
58 Al 0.000 0.148 0.250
59 Al 0.852 0.000 0.750
60 Al 0.148 0.000 0.250
61 Al 0.148 0.148 0.750
62 Al 0.852 0.852 0.250
63 Al 0.333 0.667 0.875
64 Al 0.667 0.333 0.125
65 Al 0.667 0.333 0.375
66 Al 0.667 0.333 0.625
67 Al 0.333 0.667 0.625
68 Al 0.333 0.667 0.375
69 Al 0.333 0.667 0.125
70 Al 0.667 0.333 0.875
71 Al 0.000 0.746 0.971
72 Al 0.000 0.254 0.029
73 Al 0.746 0.000 0.971
74 Al 0.000 0.254 0.471
75 Al 0.746 0.000 0.529
76 Al 0.254 0.000 0.029
77 Al 0.000 0.746 0.529
78 Al 0.254 0.000 0.471
79 Al 0.254 0.254 0.971
80 Al 0.746 0.746 0.029
81 Al 0.746 0.746 0.471
82 Al 0.254 0.254 0.529
83 Al 0.606 0.841 0.837
84 Al 0.394 0.159 0.163
85 Al 0.235 0.394 0.837
86 Al 0.394 0.159 0.337
87 Al 0.841 0.606 0.663
88 Al 0.765 0.606 0.163
89 Al 0.606 0.841 0.663
90 Al 0.159 0.394 0.337
91 Al 0.159 0.765 0.837
92 Al 0.765 0.606 0.337
93 Al 0.394 0.235 0.663
94 Al 0.841 0.235 0.163
95 Al 0.235 0.394 0.663
96 Al 0.606 0.765 0.337
97 Al 0.159 0.394 0.163
98 Al 0.841 0.606 0.837
99 Al 0.841 0.235 0.337
100 Al 0.606 0.765 0.163
101 Al 0.159 0.765 0.663
102 Al 0.394 0.235 0.837
103 Al 0.765 0.159 0.663
104 Al 0.235 0.841 0.337
105 Al 0.235 0.841 0.163
106 Al 0.765 0.159 0.837


# 3
Density functional theory data (SCAN) for a PBEsol-optimized structure of Lu6Al43W4.

Results
space group = P6_3/mcm
energy relative to the elements = -271 meV/atom
density = 5.5 g cm⁻³

a b c (Å): 10.878 10.878 17.496
angles (deg): 90.00 90.00 120.00
Fractional positions:
1 Lu 0.533 0.533 0.596
2 Lu 0.000 0.467 0.596
3 Lu 0.467 0.000 0.596
4 Lu 0.467 0.467 0.404
5 Lu 0.000 0.533 0.404
6 Lu 0.533 0.000 0.404
7 Lu 0.467 0.467 0.096
8 Lu 0.000 0.533 0.096
9 Lu 0.533 0.000 0.096
10 Lu 0.533 0.533 0.904
11 Lu 0.000 0.467 0.904
12 Lu 0.467 0.000 0.904
13 Al 0.762 0.157 0.663
14 Al 0.395 0.238 0.663
15 Al 0.843 0.605 0.663
16 Al 0.157 0.762 0.663
17 Al 0.238 0.395 0.663
18 Al 0.605 0.843 0.663
19 Al 0.238 0.843 0.337
20 Al 0.605 0.762 0.337
21 Al 0.157 0.395 0.337
22 Al 0.843 0.238 0.337
23 Al 0.762 0.605 0.337
24 Al 0.395 0.157 0.337
25 Al 0.238 0.843 0.163
26 Al 0.605 0.762 0.163
27 Al 0.157 0.395 0.163
28 Al 0.843 0.238 0.163
29 Al 0.762 0.605 0.163
30 Al 0.395 0.157 0.163
31 Al 0.762 0.157 0.837
32 Al 0.395 0.238 0.837
33 Al 0.843 0.605 0.837
34 Al 0.157 0.762 0.837
35 Al 0.238 0.395 0.837
36 Al 0.605 0.843 0.837
37 Al 0.160 0.160 0.114
38 Al 0.000 0.840 0.114
39 Al 0.840 0.000 0.114
40 Al 0.840 0.840 0.886
41 Al 0.000 0.160 0.886
42 Al 0.160 0.000 0.886
43 Al 0.840 0.840 0.614
44 Al 0.000 0.160 0.614
45 Al 0.160 0.000 0.614
46 Al 0.160 0.160 0.386
47 Al 0.000 0.840 0.386
48 Al 0.840 0.000 0.386
49 Al 0.255 0.255 0.530
50 Al 0.000 0.745 0.530
51 Al 0.745 0.000 0.530
52 Al 0.745 0.745 0.470
53 Al 0.000 0.255 0.470
54 Al 0.255 0.000 0.470
55 Al 0.745 0.745 0.030
56 Al 0.000 0.255 0.030
57 Al 0.255 0.000 0.030
58 Al 0.255 0.255 0.970
59 Al 0.000 0.745 0.970
60 Al 0.745 0.000 0.970
61 Al 0.552 0.148 0.750
62 Al 0.596 0.448 0.750
63 Al 0.852 0.404 0.750
64 Al 0.148 0.552 0.750
65 Al 0.448 0.596 0.750
66 Al 0.404 0.852 0.750
67 Al 0.448 0.852 0.250
68 Al 0.404 0.552 0.250
69 Al 0.148 0.596 0.250
70 Al 0.852 0.448 0.250
71 Al 0.552 0.404 0.250
72 Al 0.596 0.148 0.250
73 Al 0.753 0.247 0.500
74 Al 0.494 0.247 0.500
75 Al 0.753 0.506 0.500
76 Al 0.247 0.753 0.500
77 Al 0.247 0.494 0.500
78 Al 0.506 0.753 0.500
79 Al 0.247 0.753 0.000
80 Al 0.506 0.753 0.000
81 Al 0.247 0.494 0.000
82 Al 0.753 0.247 0.000
83 Al 0.753 0.506 0.000
84 Al 0.494 0.247 0.000
85 Al 0.667 0.333 0.625
86 Al 0.333 0.667 0.625
87 Al 0.333 0.667 0.375
88 Al 0.667 0.333 0.375
89 Al 0.333 0.667 0.125
90 Al 0.667 0.333 0.125
91 Al 0.667 0.333 0.875
92 Al 0.333 0.667 0.875
93 Al 0.149 0.149 0.750
94 Al 0.000 0.851 0.750
95 Al 0.851 0.000 0.750
96 Al 0.851 0.851 0.250
97 Al 0.000 0.149 0.250
98 Al 0.149 0.000 0.250
99 W 0.728 0.728 0.750
100 W 0.000 0.272 0.750
101 W 0.272 0.000 0.750
102 W 0.272 0.272 0.250
103 W 0.000 0.728 0.250
104 W 0.728 0.000 0.250
105 W 0.000 0.000 0.500
106 W 0.000 0.000 0.000


# 4
Density functional theory data (SCAN) for a PBEsol-optimized structure of MgAl3.

Results
space group = I4/mmm
energy relative to the elements = 29 meV/atom
density = 2.5 g cm⁻³

a b c (Å): 4.125 4.125 5.038
angles (deg): 114.16 114.16 90.00
Fractional positions:
1 Mg 0.000 0.000 0.000
2 Al 0.500 0.500 0.000
3 Al 0.250 0.750 0.500
4 Al 0.750 0.250 0.500


# 5
Density functional theory data (SCAN) for a PBEsol-optimized structure of MgAl3.

Results
space group = Fm-3m
energy relative to the elements = 105 meV/atom
density = 2.5 g cm⁻³

a b c (Å): 4.637 4.637 4.637
angles (deg): 60.00 60.00 60.00
Fractional positions:
1 Mg 0.000 0.000 0.000
2 Al 0.250 0.250 0.250
3 Al 0.750 0.750 0.750
4 Al 0.500 0.500 0.500


# 6
Density functional theory data (SCAN) for a PBEsol-optimized structure of Mg17Al12.

Results
space group = I-43m
energy relative to the elements = -22 meV/atom
density = 2.1 g cm⁻³

a b c (Å): 9.062 9.062 9.062
angles (deg): 109.47 109.47 109.47
Fractional positions:
1 Mg 0.000 0.000 0.000
2 Mg 0.345 0.345 0.345
3 Mg 0.000 0.000 0.655
4 Mg 0.000 0.655 0.000
5 Mg 0.655 0.000 0.000
6 Mg 0.601 0.601 0.285
7 Mg 0.285 0.601 0.601
8 Mg 0.601 0.285 0.601
9 Mg 0.316 0.316 0.715
10 Mg 0.000 0.684 0.399
11 Mg 0.684 0.000 0.399
12 Mg 0.684 0.399 0.000
13 Mg 0.000 0.399 0.684
14 Mg 0.316 0.715 0.316
15 Mg 0.399 0.684 0.000
16 Mg 0.715 0.316 0.316
17 Mg 0.399 0.000 0.684
18 Al 0.633 0.633 0.818
19 Al 0.818 0.633 0.633
20 Al 0.633 0.818 0.633
21 Al 0.814 0.814 0.182
22 Al 0.000 0.186 0.367
23 Al 0.186 0.000 0.367
24 Al 0.186 0.367 0.000
25 Al 0.000 0.367 0.186
26 Al 0.814 0.182 0.814
27 Al 0.367 0.186 0.000
28 Al 0.182 0.814 0.814
29 Al 0.367 0.000 0.186


# 7
Density functional theory data (SCAN) for a PBEsol-optimized structure of MgAl3.

Results
space group = P6_3/mmc
energy relative to the elements = 27 meV/atom
density = 2.5 g cm⁻³

a b c (Å): 4.677 5.886 5.886
angles (deg): 120.00 90.00 90.00
Fractional positions:
1 Mg 0.250 0.667 0.333
2 Mg 0.750 0.333 0.667
3 Al 0.750 0.323 0.161
4 Al 0.750 0.839 0.677
5 Al 0.750 0.839 0.161
6 Al 0.250 0.677 0.839
7 Al 0.250 0.161 0.323
8 Al 0.250 0.161 0.839


# 8
Density functional theory data (SCAN) for a PBEsol-optimized structure of Mg13Al16.

Results
space group = I-43m
energy relative to the elements = 22 meV/atom
density = 2.2 g cm⁻³

a b c (Å): 8.975 8.975 8.975
angles (deg): 109.47 109.47 109.47
Fractional positions:
1 Mg 0.590 0.590 0.283
2 Mg 0.283 0.590 0.590
3 Mg 0.590 0.283 0.590
4 Mg 0.308 0.308 0.717
5 Mg 0.000 0.692 0.410
6 Mg 0.692 0.000 0.410
7 Mg 0.692 0.410 0.000
8 Mg 0.000 0.410 0.692
9 Mg 0.308 0.717 0.308
10 Mg 0.410 0.692 0.000
11 Mg 0.717 0.308 0.308
12 Mg 0.410 0.000 0.692
13 Mg 0.000 0.000 0.000
14 Al 0.634 0.634 0.819
15 Al 0.819 0.634 0.634
16 Al 0.634 0.819 0.634
17 Al 0.815 0.815 0.181
18 Al 0.000 0.185 0.366
19 Al 0.185 0.000 0.366
20 Al 0.185 0.366 0.000
21 Al 0.000 0.366 0.185
22 Al 0.815 0.181 0.815
23 Al 0.366 0.185 0.000
24 Al 0.181 0.815 0.815
25 Al 0.366 0.000 0.185
26 Al 0.327 0.327 0.327
27 Al 0.000 0.000 0.673
28 Al 0.000 0.673 0.000
29 Al 0.673 0.000 0.000